## Y2CuAgO5 (PBE)

Data for a relaxed Y2CuAgO5 crystal.

POSCAR file:
```
Y2CuAgO5
1.0
6.5508 0.0000 0.0000
0.0000 6.5508 0.0000
0.0000 0.0000 5.4880
Y Cu Ag O
4 2 2 10
direct
0.1760 0.3240 0.0000 Y
0.3240 0.8240 0.0000 Y
0.6760 0.1760 0.0000 Y
0.8240 0.6760 0.0000 Y
0.0000 0.5000 0.5000 Cu
0.5000 0.0000 0.5000 Cu
0.0000 0.0000 0.5000 Ag
0.5000 0.5000 0.5000 Ag
0.0000 0.0000 0.0000 O
0.1316 0.6316 0.2518 O
0.1316 0.6316 0.7482 O
0.3684 0.1316 0.2518 O
0.3684 0.1316 0.7482 O
0.5000 0.5000 0.0000 O
0.6316 0.8684 0.2518 O
0.6316 0.8684 0.7482 O
0.8684 0.3684 0.2518 O
0.8684 0.3684 0.7482 O
```

Results
Space group: No. 127
M_tot: 0.000 μB per formula unit
Energy relative to the elements, uncorrected: -2.000 eV per atom